VASP calculation (GGA-PBE) on an optimized crystal structure of HfScCu.

The structure in POSCAR format:
```
HfScCu
1.0
-1.679 1.360 -2.343
0.372 -2.614 -1.784
-9.546 -4.320 4.337
Hf Cu Sc
2 2 2
Direct
0.500 0.000 0.408
0.000 0.500 0.592
0.500 0.000 0.743
0.000 0.500 0.257
0.000 0.500 0.895
0.500 0.000 0.105
```

Summary:
Its symmetry is P4/nmm. For the energy relative to the elements, the calculation gives -138 meV per atom. The calculation puts the energy above the lowest structure with this stoichiometry at 0 meV/atom.


VASP calculation (GGA-PBE) on an optimized crystal structure of HfScCuSn.

The structure in POSCAR format:
```
HfScCuSn
1.0
2.695 2.924 2.768
-1.872 1.919 4.036
1.538 -1.510 4.339
Sc Hf Sn Cu
1 1 1 1
Direct
0.500 0.500 0.500
0.250 0.250 0.250
0.000 0.000 0.000
0.750 0.750 0.750
```

Summary:
Its symmetry is F-43m. For the raw total energy, the calculation gives -23.3 eV per cell.


VASP calculation (GGA-PBE) on an optimized crystal structure of HfScCu2Sn2.

The structure in POSCAR format:
```
HfScCu2Sn2
1.0
-0.594 1.323 -4.206
0.672 -4.305 0.904
-6.488 -0.878 0.639
Cu Sc Hf Sn
2 1 1 2
Direct
0.667 0.333 0.542
0.333 0.667 0.055
0.000 0.000 0.731
0.000 0.000 0.231
0.667 0.333 0.967
0.333 0.667 0.473
```

Summary:
Its symmetry is P3m1. For the raw total energy, the calculation gives -34.2 eV per cell.


VASP calculation (GGA-PBE) on an optimized crystal structure of HfTlCuTeSe2.

The structure in POSCAR format:
```
HfTlCuTeSe2
1.0
-3.115 6.705 2.827
0.948 -5.346 -5.760
-8.319 -5.400 3.642
Cu Hf Te Se Tl
2 2 2 4 2
Direct
0.964 0.036 0.750
0.036 0.964 0.250
0.500 0.500 0.500
0.500 0.500 0.000
0.579 0.421 0.750
0.421 0.579 0.250
0.118 0.882 0.447
0.118 0.882 0.053
0.882 0.118 0.553
0.882 0.118 0.947
0.730 0.270 0.250
0.270 0.730 0.750
```

Summary:
Its symmetry is Cmcm. For the raw total energy, the calculation gives -61.1 eV per cell.


VASP calculation (GGA-PBE) on an optimized crystal structure of HfTlCuSe3.

The structure in POSCAR format:
```
HfTlCuSe3
1.0
-2.120 13.657 -6.119
-2.585 -1.504 -2.461
-7.551 1.870 6.789
Cu Se Tl Hf
4 12 4 4
Direct
0.490 0.250 0.093
0.990 0.250 0.407
0.010 0.750 0.593
0.510 0.750 0.907
0.872 0.250 0.244
0.591 0.750 0.122
0.628 0.750 0.744
0.909 0.250 0.622
0.372 0.250 0.256
0.409 0.250 0.878
0.911 0.750 0.933
0.589 0.250 0.433
0.091 0.750 0.378
0.089 0.250 0.067
0.411 0.750 0.567
0.128 0.750 0.756
0.234 0.250 0.537
0.266 0.750 0.037
0.766 0.750 0.463
0.734 0.250 0.963
0.513 0.250 0.676
0.487 0.750 0.324
0.987 0.750 0.176
0.013 0.250 0.824
```

Summary:
Its symmetry is Pnma. For the raw total energy, the calculation gives -126.7 eV per cell.


VASP calculation (GGA-PBE) on an optimized crystal structure of HfTlCuSe3.

The structure in POSCAR format:
```
HfTlCuSe3
1.0
7.370 -1.922 0.000
7.370 1.922 0.000
0.000 0.000 10.151
Hf Se Cu Tl
2 6 2 2
Direct
0.000 0.000 0.500
0.000 0.000 0.000
0.065 0.065 0.250
0.374 0.374 0.046
0.626 0.626 0.954
0.626 0.626 0.546
0.935 0.935 0.750
0.374 0.374 0.454
0.461 0.461 0.250
0.539 0.539 0.750
0.249 0.249 0.750
0.751 0.751 0.250
```

Summary:
Its symmetry is Cmcm. For the raw total energy, the calculation gives -63.3 eV per cell.


VASP calculation (GGA-PBE) on an optimized crystal structure of Hf2CuSi.

The structure in POSCAR format:
```
Hf2CuSi
1.0
0.000 3.257 3.257
3.257 0.000 3.257
3.257 3.257 0.000
Hf Si Cu
2 1 1
Direct
0.000 0.000 0.000
0.750 0.750 0.750
0.500 0.500 0.500
0.250 0.250 0.250
```

Summary:
Its symmetry is F-43m. For the raw total energy, the calculation gives -27.9 eV per cell.


VASP calculation (GGA-PBE) on an optimized crystal structure of HfCuSi2.

The structure in POSCAR format:
```
HfCuSi2
1.0
0.000 3.155 3.155
3.155 0.000 3.155
3.155 3.155 0.000
Cu Si Hf
1 2 1
Direct
0.750 0.750 0.750
0.250 0.250 0.250
0.000 0.000 0.000
0.500 0.500 0.500
```

Summary:
Its symmetry is F-43m. For the raw total energy, the calculation gives -23.9 eV per cell.


VASP calculation (GGA-PBE) on an optimized crystal structure of HfCuSi.

The structure in POSCAR format:
```
HfCuSi
1.0
0.000 2.922 2.922
2.922 0.000 2.922
2.922 2.922 0.000
Cu Si Hf
1 1 1
Direct
0.000 0.000 0.000
0.750 0.750 0.750
0.250 0.250 0.250
```

Summary:
Its symmetry is F-43m. For the raw total energy, the calculation gives -19.9 eV per cell.


VASP calculation (GGA-PBE) on an optimized crystal structure of Hf3CuSi5.

The structure in POSCAR format:
```
Hf3CuSi5
1.0
5.715 0.000 0.000
-2.857 4.949 0.000
0.000 0.000 6.627
Si Hf Cu
5 3 1
Direct
0.667 0.333 0.170
0.000 0.000 0.500
0.333 0.667 0.170
0.333 0.667 0.830
0.667 0.333 0.830
0.500 0.000 0.500
0.500 0.500 0.500
0.000 0.500 0.500
0.000 0.000 0.000
```

Summary:
Its symmetry is P6/mmm. For the raw total energy, the calculation gives -57.5 eV per cell.


VASP calculation (GGA-PBE) on an optimized crystal structure of HfCuSi.

The structure in POSCAR format:
```
HfCuSi
1.0
0.377 0.436 4.313
-2.884 -1.910 2.640
1.198 -3.402 2.434
Cu Si Hf
1 1 1
Direct
0.250 0.250 0.250
0.750 0.750 0.750
0.000 0.000 0.000
```

Summary:
Its symmetry is F-43m. For the raw total energy, the calculation gives -18.6 eV per cell.


VASP calculation (GGA-PBE) on an optimized crystal structure of HfCu2Si.

The structure in POSCAR format:
```
HfCu2Si
1.0
-0.608 -1.174 4.134
1.488 2.513 3.211
-2.783 2.207 2.496
Hf Si Cu
1 1 2
Direct
0.250 0.250 0.250
0.500 0.500 0.500
0.000 0.000 0.000
0.750 0.750 0.750
```

Summary:
Its symmetry is F-43m. For the raw total energy, the calculation gives -23.4 eV per cell.


Calculated density? In order: 8.3; 8.4; 8.7; 7.7; 7.5; 7.9; 10.8; 7.9; 9.0; 6.6; 7.7; 9.6 Mg/m³.
Spin magnetization? In order: 0.410; 1.616; 0.009; 0.002; 0.002; 0.010; 0.018; 0.013; 0.001; 0.001; 0.000; 0.001 μB per formula unit.